w:
DFT (PBE) results for Zr2BF after structural relaxation.

Cell lengths 6.059, 6.059, 6.059 Å; angles 90.00, 90.00, 90.00 degrees
Space group Fm-3m (No. 225)
Inequivalent atoms, fractional coordinates:
Zr1 0.250 0.250 0.250 x8
B1 0.000 0.000 0.000 x4
F1 0.000 0.000 0.500 x4

Summary:
The crystal system is cubic.

x:
DFT (PBE) results for Zr2BF after structural relaxation.

Cell lengths 5.134, 5.134, 10.770 Å; angles 90.00, 90.00, 90.00 degrees
Space group I-42d (No. 122)
Inequivalent atoms, fractional coordinates:
Zr1 0.237 0.250 0.125 x8
B1 0.000 0.000 0.000 x4
F1 0.000 0.000 0.500 x4

Summary:
The crystal system is tetragonal.

Q: Which of them is the most stable? A: w.

w:
DFT (PBE) results for GaFeB3 after structural relaxation.

Cell lengths 3.874, 3.874, 3.874 Å; angles 90.00, 90.00, 90.00 degrees
Space group Pm-3m (No. 221)
Inequivalent atoms, fractional coordinates:
Ga1 0.000 0.000 0.000 x1
Fe1 0.500 0.500 0.500 x1
B1 0.000 0.000 0.500 x3

Summary:
The crystal system is cubic.

x:
DFT (PBE) results for GaFeB3 after structural relaxation.

Cell lengths 3.817, 3.817, 3.817 Å; angles 90.00, 90.00, 90.00 degrees
Space group Pm-3m (No. 221)
Inequivalent atoms, fractional coordinates:
Ga1 0.000 0.000 0.000 x1
Fe1 0.500 0.500 0.500 x1
B1 0.000 0.500 0.500 x3

Summary:
The crystal system is cubic.

Q: Which of them is the most stable? A: x.

w:
DFT (PBE) results for Fe2GeB after structural relaxation.

Cell lengths 6.200, 6.200, 4.663 Å; angles 90.00, 90.00, 90.00 degrees
Space group I-42d (No. 122)
Inequivalent atoms, fractional coordinates:
Fe1 0.168 0.250 0.125 x8
Ge1 0.000 0.000 0.500 x4
B1 0.000 0.000 0.000 x4

Summary:
The crystal system is tetragonal.

x:
DFT (PBE) results for Fe2GeB after structural relaxation.

Cell lengths 5.406, 5.406, 5.406 Å; angles 90.00, 90.00, 90.00 degrees
Space group Fm-3m (No. 225)
Inequivalent atoms, fractional coordinates:
Fe1 0.250 0.250 0.250 x8
Ge1 0.000 0.000 0.000 x4
B1 0.000 0.000 0.500 x4

Summary:
The crystal system is cubic.

Q: Which of them is the most stable? A: w.

w:
DFT (PBE) results for FeGeB2 after structural relaxation.

Cell lengths 4.767, 4.767, 9.020 Å; angles 90.00, 90.00, 90.00 degrees
Space group I-42d (No. 122)
Inequivalent atoms, fractional coordinates:
Fe1 0.000 0.000 0.000 x4
Ge1 0.000 0.000 0.500 x4
B1 0.218 0.250 0.125 x8

Summary:
The crystal system is tetragonal.

x:
DFT (PBE) results for FeGeB2 after structural relaxation.

Cell lengths 5.305, 5.305, 5.305 Å; angles 90.00, 90.00, 90.00 degrees
Space group Fm-3m (No. 225)
Inequivalent atoms, fractional coordinates:
Fe1 0.000 0.000 0.000 x4
Ge1 0.000 0.000 0.500 x4
B1 0.250 0.250 0.250 x8

Summary:
The crystal system is cubic.

Q: Which of them is the most stable? A: w.

w:
DFT (PBE) results for FeBH3 after structural relaxation.

Cell lengths 3.018, 3.018, 3.018 Å; angles 90.00, 90.00, 90.00 degrees
Space group Pm-3m (No. 221)
Inequivalent atoms, fractional coordinates:
Fe1 0.000 0.000 0.000 x1
B1 0.500 0.500 0.500 x1
H1 0.000 0.500 0.500 x3

Summary:
The crystal system is cubic.

x:
DFT (PBE) results for FeBH3 after structural relaxation.

Cell lengths 3.074, 3.074, 3.074 Å; angles 90.00, 90.00, 90.00 degrees
Space group Pm-3m (No. 221)
Inequivalent atoms, fractional coordinates:
Fe1 0.000 0.000 0.000 x1
B1 0.500 0.500 0.500 x1
H1 0.000 0.000 0.500 x3

Summary:
The crystal system is cubic.

Q: Which of them is the most stable? A: w.

w:
DFT (PBE) results for FeHgB3 after structural relaxation.

Cell lengths 4.241, 4.241, 4.241 Å; angles 90.00, 90.00, 90.00 degrees
Space group Pm-3m (No. 221)
Inequivalent atoms, fractional coordinates:
Fe1 0.000 0.000 0.000 x1
Hg1 0.500 0.500 0.500 x1
B1 0.000 0.500 0.500 x3

Summary:
The crystal system is cubic.

x:
DFT (PBE) results for FeHgB3 after structural relaxation.

Cell lengths 3.903, 3.903, 3.903 Å; angles 90.00, 90.00, 90.00 degrees
Space group Pm-3m (No. 221)
Inequivalent atoms, fractional coordinates:
Fe1 0.000 0.000 0.000 x1
Hg1 0.500 0.500 0.500 x1
B1 0.000 0.000 0.500 x3

Summary:
The crystal system is cubic.

Q: Which of them is the most stable? A: x.

w:
DFT (PBE) results for HoFeB2 after structural relaxation.

Cell lengths 5.813, 3.605, 5.067 Å; angles 90.00, 114.93, 90.00 degrees
Space group C2/m (No. 12)
Inequivalent atoms, fractional coordinates:
Ho1 0.000 0.000 0.000 x2
Fe1 0.000 0.500 0.500 x2
B1 0.179 0.000 0.587 x4

Summary:
The crystal system is monoclinic.

x:
DFT (PBE) results for HoFeB2 after structural relaxation.

Cell lengths 5.778, 5.180, 6.108 Å; angles 90.00, 90.00, 90.00 degrees
Space group Pnma (No. 62)
Inequivalent atoms, fractional coordinates:
Ho1 0.004 0.250 0.155 x4
Fe1 0.179 0.250 0.681 x4
B1 0.127 0.583 0.457 x8

Summary:
The crystal system is orthorhombic.

Q: Which of them is the most stable? A: x.

w:
DFT (PBE) results for HoFeB after structural relaxation.

Cell lengths 3.5260, 3.5260, 3.9979 Å; angles 90.00, 90.00, 120.00 degrees
Space group P-6m2 (No. 187)
Inequivalent atoms, fractional coordinates:
Ho1 0.0000 0.0000 0.0000 x1
Fe1 0.6667 0.3333 0.5000 x1
B1 0.3333 0.6667 0.5000 x1

Summary:
The crystal system is hexagonal.

x:
DFT (PBE) results for HoFeB after structural relaxation.

Cell lengths 3.523, 3.523, 7.577 Å; angles 90.00, 90.00, 90.00 degrees
Space group P4/nmm (No. 129, origin choice 2)
Inequivalent atoms, fractional coordinates:
Ho1 0.250 0.250 0.195 x2
Fe1 0.250 0.750 0.500 x2
B1 0.250 0.250 0.637 x2

Summary:
The crystal system is tetragonal.

Q: Which of them is the most stable? A: x.

w:
DFT (PBE) results for HoFe3B3 after structural relaxation.

Cell lengths 5.489, 5.489, 5.489 Å; angles 90.00, 90.00, 90.00 degrees
Space group Pm-3n (No. 223)
Inequivalent atoms, fractional coordinates:
Ho1 0.000 0.000 0.000 x2
Fe1 0.000 0.250 0.500 x6
B1 0.000 0.500 0.250 x6

Summary:
The crystal system is cubic.

x:
DFT (PBE) results for HoFe3B3 after structural relaxation.

Cell lengths 7.6467, 7.6467, 3.0402 Å; angles 90.00, 90.00, 120.00 degrees
Space group P6_3/m (No. 176)
Inequivalent atoms, fractional coordinates:
Ho1 0.3333 0.6667 0.2500 x2
Fe1 0.0705 0.3073 0.7500 x6
B1 0.0359 0.5816 0.7500 x6

Summary:
The crystal system is hexagonal.

Q: Which of them is the most stable? A: x.

w:
DFT (PBE) results for HoFeB4 after structural relaxation.

Cell lengths 5.877, 11.369, 3.364 Å; angles 90.00, 90.00, 90.00 degrees
Space group Pbam (No. 55)
Inequivalent atoms, fractional coordinates:
Ho1 0.127 0.150 0.000 x4
Fe1 0.133 0.411 0.000 x4
B1 0.025 0.691 0.500 x4
B2 0.111 0.546 0.500 x4
B3 0.139 0.968 0.500 x4
B4 0.218 0.816 0.500 x4

Summary:
The crystal system is orthorhombic.

x:
DFT (PBE) results for HoFeB4 after structural relaxation.

Cell lengths 3.127, 5.344, 7.198 Å; angles 90.00, 90.00, 90.00 degrees
Space group Immm (No. 71)
Inequivalent atoms, fractional coordinates:
Ho1 0.000 0.000 0.000 x2
Fe1 0.000 0.000 0.500 x2
B1 0.000 0.332 0.250 x8

Summary:
The crystal system is orthorhombic.

Q: Which of them is the most stable? A: w.

w:
DFT (PBE) results for FeB3I after structural relaxation.

Cell lengths 4.370, 4.370, 4.370 Å; angles 90.00, 90.00, 90.00 degrees
Space group Pm-3m (No. 221)
Inequivalent atoms, fractional coordinates:
Fe1 0.000 0.000 0.000 x1
B1 0.000 0.500 0.500 x3
I1 0.500 0.500 0.500 x1

Summary:
The crystal system is cubic.

x:
DFT (PBE) results for FeB3I after structural relaxation.

Cell lengths 4.060, 4.060, 4.060 Å; angles 90.00, 90.00, 90.00 degrees
Space group Pm-3m (No. 221)
Inequivalent atoms, fractional coordinates:
Fe1 0.000 0.000 0.000 x1
B1 0.000 0.000 0.500 x3
I1 0.500 0.500 0.500 x1

Summary:
The crystal system is cubic.

Q: Which of them is the most stable? A: x.

w:
DFT (PBE) results for FeB2I after structural relaxation.

Cell lengths 5.758, 5.758, 5.758 Å; angles 90.00, 90.00, 90.00 degrees
Space group Fm-3m (No. 225)
Inequivalent atoms, fractional coordinates:
Fe1 0.000 0.000 0.000 x4
B1 0.250 0.250 0.250 x8
I1 0.000 0.000 0.500 x4

Summary:
The crystal system is cubic.

x:
DFT (PBE) results for FeB2I after structural relaxation.

Cell lengths 5.169, 5.169, 9.705 Å; angles 90.00, 90.00, 90.00 degrees
Space group I-42d (No. 122)
Inequivalent atoms, fractional coordinates:
Fe1 0.000 0.000 0.000 x4
B1 0.141 0.250 0.125 x8
I1 0.000 0.000 0.500 x4

Summary:
The crystal system is tetragonal.

Q: Which of them is the most stable? A: x.